# 1
# YTm5Cd4 GGA-PBE relaxed
data_YTm5Cd4
_chemical_formula_sum 'Y1 Tm5 Cd4'
_space_group_name_H-M_alt 'P 1'
_space_group_IT_number 1
_space_group_name_Hall 'P 1'
_cell_length_a 3.6328
_cell_length_b 3.6328
_cell_length_c 20.2095
_cell_angle_alpha 90.00
_cell_angle_beta 90.00
_cell_angle_gamma 90.00
loop_
_atom_site_label
_atom_site_fract_x
_atom_site_fract_y
_atom_site_fract_z
Y1 0.0000 0.0000 0.0000
Tm1 0.5000 0.5000 0.1214
Tm2 0.5000 0.5000 0.3127
Tm3 0.5000 0.5000 0.5000
Tm4 0.5000 0.5000 0.6873
Tm5 0.5000 0.5000 0.8786
Cd1 0.0000 0.0000 0.2177
Cd2 0.0000 0.0000 0.4054
Cd3 0.0000 0.0000 0.5946
Cd4 0.0000 0.0000 0.7823
# - Total magnetic moment: 0.000 μB per cell
# - Symmetry: No. 123
# - Calculated volume: 267 Å³ per cell
# - E: -3.4847 eV/atom
# - DOS(E_F): 12.129 states/eV/f.u.
# - DFT formation energy: -0.24 eV/atom

=====

# 2
# Y2TmCd GGA-PBE relaxed
data_Y2TmCd
_chemical_formula_sum 'Y2 Tm1 Cd1'
_space_group_name_H-M_alt 'P 1'
_space_group_IT_number 1
_space_group_name_Hall 'P 1'
_cell_length_a 5.3445
_cell_length_b 5.3445
_cell_length_c 4.0151
_cell_angle_alpha 90.00
_cell_angle_beta 90.00
_cell_angle_gamma 90.00
loop_
_atom_site_label
_atom_site_fract_x
_atom_site_fract_y
_atom_site_fract_z
Y1 0.0000 0.5000 0.0000
Y2 0.5000 0.0000 0.0000
Tm1 0.0000 0.0000 0.5000
Cd1 0.5000 0.5000 0.5000
# - Total magnetic moment: 0.000 μB per cell
# - Symmetry: No. 123
# - Calculated volume: 115 Å³ per cell
# - E: -4.6466 eV/atom
# - DOS(E_F): 5.680 states/eV/f.u.
# - DFT formation energy: -0.07 eV/atom

=====

# 3
# Y2TmCd GGA-PBE relaxed
data_Y2TmCd
_chemical_formula_sum 'Y2 Tm1 Cd1'
_space_group_name_H-M_alt 'P 1'
_space_group_IT_number 1
_space_group_name_Hall 'P 1'
_cell_length_a 3.5317
_cell_length_b 9.8945
_cell_length_c 9.8945
_cell_angle_alpha 20.17
_cell_angle_beta 90.00
_cell_angle_gamma 90.00
loop_
_atom_site_label
_atom_site_fract_x
_atom_site_fract_y
_atom_site_fract_z
Y1 0.0000 0.0000 0.0000
Y2 0.5000 0.3686 0.3686
Tm1 0.0000 0.2140 0.2140
Cd1 0.5000 0.6105 0.6105
# - Total magnetic moment: 0.398 μB per cell
# - Symmetry: No. 38
# - Calculated volume: 119 Å³ per cell
# - E: -4.5969 eV/atom
# - DOS(E_F): 5.731 states/eV/f.u.
# - DFT formation energy: -0.02 eV/atom

=====

# 4
# Y4TmCd2 GGA-PBE relaxed
data_Y4TmCd2
_chemical_formula_sum 'Y4 Tm1 Cd2'
_space_group_name_H-M_alt 'P 1'
_space_group_IT_number 1
_space_group_name_Hall 'P 1'
_cell_length_a 10.3250
_cell_length_b 10.3250
_cell_length_c 10.3250
_cell_angle_alpha 29.01
_cell_angle_beta 29.01
_cell_angle_gamma 29.01
loop_
_atom_site_label
_atom_site_fract_x
_atom_site_fract_y
_atom_site_fract_z
Y1 0.1110 0.1110 0.1110
Y2 0.2941 0.2941 0.2941
Y3 0.7059 0.7059 0.7059
Y4 0.8890 0.8890 0.8890
Tm1 0.5000 0.5000 0.5000
Cd1 0.3996 0.3996 0.3996
Cd2 0.6004 0.6004 0.6004
# - Total magnetic moment: 0.000 μB per cell
# - Symmetry: No. 166
# - Calculated volume: 229 Å³ per cell
# - E: -4.4016 eV/atom
# - DOS(E_F): 9.650 states/eV/f.u.
# - DFT formation energy: 0.19 eV/atom

=====

# 5
# YTm4Cd GGA-PBE relaxed
data_YTm4Cd
_chemical_formula_sum 'Y2 Tm8 Cd2'
_space_group_name_H-M_alt 'P 1'
_space_group_IT_number 1
_space_group_name_Hall 'P 1'
_cell_length_a 5.9975
_cell_length_b 5.9975
_cell_length_c 11.6186
_cell_angle_alpha 105.13
_cell_angle_beta 105.13
_cell_angle_gamma 59.88
loop_
_atom_site_label
_atom_site_fract_x
_atom_site_fract_y
_atom_site_fract_z
Y1 0.0000 0.5000 0.0000
Y2 0.5000 0.0000 0.5000
Tm1 0.1643 0.6736 0.4979
Tm2 0.2467 0.4233 0.7496
Tm3 0.3264 0.8357 0.0021
Tm4 0.4233 0.2467 0.2496
Tm5 0.5767 0.7533 0.7504
Tm6 0.6736 0.1643 0.9979
Tm7 0.7533 0.5767 0.2504
Tm8 0.8357 0.3264 0.5021
Cd1 0.0862 0.9138 0.2500
Cd2 0.9138 0.0862 0.7500
# - Total magnetic moment: 0.001 μB per cell
# - Symmetry: No. 15
# - Calculated volume: 345 Å³ per cell
# - E: -4.2239 eV/atom
# - DOS(E_F): 9.735 states/eV/f.u.
# - DFT formation energy: -0.01 eV/atom

=====

# 6
# Y3Tm2Cd GGA-PBE relaxed
data_Y3Tm2Cd
_chemical_formula_sum 'Y3 Tm2 Cd1'
_space_group_name_H-M_alt 'P 1'
_space_group_IT_number 1
_space_group_name_Hall 'P 1'
_cell_length_a 3.5581
_cell_length_b 3.5581
_cell_length_c 14.0922
_cell_angle_alpha 90.00
_cell_angle_beta 90.00
_cell_angle_gamma 90.00
loop_
_atom_site_label
_atom_site_fract_x
_atom_site_fract_y
_atom_site_fract_z
Y1 0.0000 0.0000 0.0000
Y2 0.0000 0.0000 0.3517
Y3 0.0000 0.0000 0.6483
Tm1 0.5000 0.5000 0.1752
Tm2 0.5000 0.5000 0.8248
Cd1 0.5000 0.5000 0.5000
# - Total magnetic moment: 0.000 μB per cell
# - Symmetry: No. 123
# - Calculated volume: 178 Å³ per cell
# - E: -4.9655 eV/atom
# - DOS(E_F): 9.124 states/eV/f.u.
# - DFT formation energy: -0.09 eV/atom

=====

# 7
# Y5TmCd GGA-PBE relaxed
data_Y5TmCd
_chemical_formula_sum 'Y10 Tm2 Cd2'
_space_group_name_H-M_alt 'P 1'
_space_group_IT_number 1
_space_group_name_Hall 'P 1'
_cell_length_a 7.8925
_cell_length_b 7.8925
_cell_length_c 8.0968
_cell_angle_alpha 106.06
_cell_angle_beta 106.06
_cell_angle_gamma 103.92
loop_
_atom_site_label
_atom_site_fract_x
_atom_site_fract_y
_atom_site_fract_z
Y1 0.0890 0.9110 0.7500
Y2 0.2416 0.3450 0.1616
Y3 0.2488 0.5903 0.9027
Y4 0.3450 0.2416 0.6616
Y5 0.4097 0.7512 0.5973
Y6 0.5903 0.2488 0.4027
Y7 0.6550 0.7584 0.3384
Y8 0.7512 0.4097 0.0973
Y9 0.7584 0.6550 0.8384
Y10 0.9110 0.0890 0.2500
Tm1 0.1683 0.8317 0.2500
Tm2 0.8317 0.1683 0.7500
Cd1 0.0000 0.5000 0.5000
Cd2 0.5000 0.0000 0.0000
# - Total magnetic moment: 0.000 μB per cell
# - Symmetry: No. 15
# - Calculated volume: 437 Å³ per cell
# - E: -5.2877 eV/atom
# - DOS(E_F): 8.685 states/eV/f.u.
# - DFT formation energy: 0.10 eV/atom

=====

# 8
# Y4Tm5Cd GGA-PBE relaxed
data_Y4Tm5Cd
_chemical_formula_sum 'Y4 Tm5 Cd1'
_space_group_name_H-M_alt 'P 1'
_space_group_IT_number 1
_space_group_name_Hall 'P 1'
_cell_length_a 3.5345
_cell_length_b 3.5345
_cell_length_c 24.0947
_cell_angle_alpha 90.00
_cell_angle_beta 90.00
_cell_angle_gamma 90.00
loop_
_atom_site_label
_atom_site_fract_x
_atom_site_fract_y
_atom_site_fract_z
Y1 0.0000 0.0000 0.1037
Y2 0.0000 0.0000 0.3113
Y3 0.0000 0.0000 0.6887
Y4 0.0000 0.0000 0.8963
Tm1 0.5000 0.5000 0.0000
Tm2 0.5000 0.5000 0.2078
Tm3 0.5000 0.5000 0.4152
Tm4 0.5000 0.5000 0.5848
Tm5 0.5000 0.5000 0.7922
Cd1 0.0000 0.0000 0.5000
# - Total magnetic moment: 0.000 μB per cell
# - Symmetry: No. 123
# - Calculated volume: 301 Å³ per cell
# - E: -4.9526 eV/atom
# - DOS(E_F): 13.826 states/eV/f.u.
# - DFT formation energy: -0.04 eV/atom

=====

# 9
# Y2Tm3Cd3 GGA-PBE relaxed
data_Y2Tm3Cd3
_chemical_formula_sum 'Y2 Tm3 Cd3'
_space_group_name_H-M_alt 'P 1'
_space_group_IT_number 1
_space_group_name_Hall 'P 1'
_cell_length_a 11.4534
_cell_length_b 11.4534
_cell_length_c 11.4534
_cell_angle_alpha 161.25
_cell_angle_beta 153.35
_cell_angle_gamma 32.79
loop_
_atom_site_label
_atom_site_fract_x
_atom_site_fract_y
_atom_site_fract_z
Y1 0.2328 0.2328 0.0000
Y2 0.7672 0.7672 0.0000
Tm1 0.0000 0.0000 0.0000
Tm2 0.3777 0.8777 0.5000
Tm3 0.6223 0.1223 0.5000
Cd1 0.1159 0.6159 0.5000
Cd2 0.5000 0.5000 0.0000
Cd3 0.8841 0.3841 0.5000
# - Total magnetic moment: 0.000 μB per cell
# - Symmetry: No. 71
# - Calculated volume: 216 Å³ per cell
# - E: -3.8649 eV/atom
# - DOS(E_F): 8.124 states/eV/f.u.
# - DFT formation energy: -0.23 eV/atom

=====

# 10
# Y2TmCd8 GGA-PBE relaxed
data_Y2TmCd8
_chemical_formula_sum 'Y2 Tm1 Cd8'
_space_group_name_H-M_alt 'P 1'
_space_group_IT_number 1
_space_group_name_Hall 'P 1'
_cell_length_a 8.5738
_cell_length_b 8.5738
_cell_length_c 7.2442
_cell_angle_alpha 114.94
_cell_angle_beta 114.94
_cell_angle_gamma 34.35
loop_
_atom_site_label
_atom_site_fract_x
_atom_site_fract_y
_atom_site_fract_z
Y1 0.1995 0.1995 0.1992
Y2 0.8005 0.8005 0.8008
Tm1 0.5000 0.5000 0.5000
Cd1 0.0000 0.0000 0.2078
Cd2 0.0000 0.0000 0.7922
Cd3 0.1553 0.1553 0.6552
Cd4 0.3600 0.3600 0.0669
Cd5 0.3596 0.3596 0.6525
Cd6 0.6404 0.6404 0.3475
Cd7 0.6400 0.6400 0.9331
Cd8 0.8447 0.8447 0.3448
# - Total magnetic moment: 0.000 μB per cell
# - Symmetry: No. 12
# - Calculated volume: 270 Å³ per cell
# - E: -2.4294 eV/atom
# - DOS(E_F): 6.030 states/eV/f.u.
# - DFT formation energy: -0.18 eV/atom

=====

# 11
# YTm4Cd3 GGA-PBE relaxed
data_YTm4Cd3
_chemical_formula_sum 'Y1 Tm4 Cd3'
_space_group_name_H-M_alt 'P 1'
_space_group_IT_number 1
_space_group_name_Hall 'P 1'
_cell_length_a 9.4391
_cell_length_b 9.4391
_cell_length_c 9.4391
_cell_angle_alpha 32.48
_cell_angle_beta 32.48
_cell_angle_gamma 32.48
loop_
_atom_site_label
_atom_site_fract_x
_atom_site_fract_y
_atom_site_fract_z
Y1 0.0000 0.0000 0.0000
Tm1 0.1297 0.1297 0.1297
Tm2 0.3875 0.3875 0.3875
Tm3 0.6125 0.6125 0.6125
Tm4 0.8703 0.8703 0.8703
Cd1 0.2604 0.2604 0.2604
Cd2 0.5000 0.5000 0.5000
Cd3 0.7396 0.7396 0.7396
# - Total magnetic moment: 0.228 μB per cell
# - Symmetry: No. 166
# - Calculated volume: 216 Å³ per cell
# - E: -3.5478 eV/atom
# - DOS(E_F): 8.340 states/eV/f.u.
# - DFT formation energy: -0.16 eV/atom

=====

# 12
# YTm6Cd GGA-PBE relaxed
data_YTm6Cd
_chemical_formula_sum 'Y1 Tm6 Cd1'
_space_group_name_H-M_alt 'P 1'
_space_group_IT_number 1
_space_group_name_Hall 'P 1'
_cell_length_a 6.2180
_cell_length_b 6.2180
_cell_length_c 6.2180
_cell_angle_alpha 94.73
_cell_angle_beta 94.73
_cell_angle_gamma 94.73
loop_
_atom_site_label
_atom_site_fract_x
_atom_site_fract_y
_atom_site_fract_z
Y1 0.0000 0.0000 0.0000
Tm1 0.0487 0.5415 0.2587
Tm2 0.2587 0.0487 0.5415
Tm3 0.4585 0.7413 0.9513
Tm4 0.5415 0.2587 0.0487
Tm5 0.7413 0.9513 0.4585
Tm6 0.9513 0.4585 0.7413
Cd1 0.5000 0.5000 0.5000
# - Total magnetic moment: 0.000 μB per cell
# - Symmetry: No. 148
# - Calculated volume: 238 Å³ per cell
# - E: -4.2090 eV/atom
# - DOS(E_F): 11.338 states/eV/f.u.
# - DFT formation energy: 0.07 eV/atom

=====

Copy entry 12 word for word.
# YTm6Cd GGA-PBE relaxed
data_YTm6Cd
_chemical_formula_sum 'Y1 Tm6 Cd1'
_space_group_name_H-M_alt 'P 1'
_space_group_IT_number 1
_space_group_name_Hall 'P 1'
_cell_length_a 6.2180
_cell_length_b 6.2180
_cell_length_c 6.2180
_cell_angle_alpha 94.73
_cell_angle_beta 94.73
_cell_angle_gamma 94.73
loop_
_atom_site_label
_atom_site_fract_x
_atom_site_fract_y
_atom_site_fract_z
Y1 0.0000 0.0000 0.0000
Tm1 0.0487 0.5415 0.2587
Tm2 0.2587 0.0487 0.5415
Tm3 0.4585 0.7413 0.9513
Tm4 0.5415 0.2587 0.0487
Tm5 0.7413 0.9513 0.4585
Tm6 0.9513 0.4585 0.7413
Cd1 0.5000 0.5000 0.5000
# - Total magnetic moment: 0.000 μB per cell
# - Symmetry: No. 148
# - Calculated volume: 238 Å³ per cell
# - E: -4.2090 eV/atom
# - DOS(E_F): 11.338 states/eV/f.u.
# - DFT formation energy: 0.07 eV/atom

=====

Among the records above, which one has the highest DOS(E_F)?
Y4Tm5Cd

=====

Which formula does entry 4 have?
Y4TmCd2

=====

Among the records above, which one has the highest DOS(E_F)?
Y4Tm5Cd